[1]
{"formula": "Na6Bi2Pb", "functional": "PBE-GGA", "state": "relaxed", "ef_mev_per_atom": -266, "final_energy_ev_per_atom": -2.42, "lattice_angstrom": [[5.3608, 0.0000, 0.0000], [2.6804, 4.6426, 0.0000], [2.6804, 1.5475, 11.5602]], "species": ["Pb", "Na", "Na", "Na", "Na", "Na", "Na", "Bi", "Bi"], "fractional_positions": [[0.0000, 0.0000, 0.0000], [0.8075, 0.8075, 0.5774], [0.4146, 0.4146, 0.7561], [0.5854, 0.5854, 0.2439], [0.1925, 0.1925, 0.4226], [0.2922, 0.2922, 0.1233], [0.7078, 0.7078, 0.8767], [0.0969, 0.0969, 0.7094], [0.9031, 0.9031, 0.2906]]}

=====

[2]
{"formula": "MgAgSeBr2", "functional": "PBE-GGA", "state": "relaxed", "raw_formation_energy_kj_per_mol_atoms": -29.9, "relative_energy_mev_per_atom": 0, "final_energy_ev_per_atom": -2.56, "lattice_angstrom": [[5.2214, 0.0000, 0.0000], [0.0000, 5.2214, 0.0000], [0.0000, 0.0000, 5.2108]], "species": ["Ag", "Mg", "Br", "Br", "Se"], "fractional_positions": [[0.5000, 0.5000, 0.5000], [0.0000, 0.0000, 0.0000], [0.5000, 0.0000, 0.0000], [0.0000, 0.5000, 0.0000], [0.0000, 0.0000, 0.5000]]}

=====

[3]
{"formula": "NdIn2Bi2", "functional": "PBE-GGA", "state": "relaxed", "ef_mev_per_atom": -366, "final_energy_ev_per_atom": -3.97, "lattice_angstrom": [[-1.4494, -3.7382, 2.3745], [4.2052, -0.5184, 1.7508], [-2.7757, 10.1186, 9.6631]], "species": ["Bi", "Bi", "Bi", "Bi", "Nd", "Nd", "In", "In", "In", "In"], "fractional_positions": [[0.2498, 0.7500, 0.4996], [0.1359, 0.2500, 0.2719], [0.8641, 0.7500, 0.7281], [0.7502, 0.2500, 0.5004], [0.3416, 0.2500, 0.6832], [0.6584, 0.7500, 0.3168], [0.4537, 0.7500, 0.9074], [0.0471, 0.7500, 0.0943], [0.5463, 0.2500, 0.0926], [0.9529, 0.2500, 0.9057]]}

=====

[4]
{"formula": "Zr2TiZnRu", "functional": "PBE-GGA", "state": "relaxed", "ef_mev_per_atom": 1104, "final_energy_ev_per_atom": -6.00, "lattice_angstrom": [[-4.2639, 2.1446, 0.4666], [-2.0765, -3.7042, -1.9500], [-0.5250, -1.9867, 4.3330]], "species": ["Ti", "Zr", "Zr", "Zn", "Ru"], "fractional_positions": [[0.0000, 0.0000, 0.0000], [0.5000, 0.0000, 0.0000], [0.0000, 0.0000, 0.5000], [0.0000, 0.5000, 0.0000], [0.5000, 0.5000, 0.5000]]}

=====

[5]
{"formula": "LaAs2H", "functional": "PBE-GGA", "state": "relaxed", "relative_energy_mev_per_atom": 0, "final_energy_ev_per_atom": -4.64, "lattice_angstrom": [[-1.0729, -4.2688, -2.2384], [-2.2018, -1.6059, 4.1179], [-7.7429, -0.2421, -1.2738]], "species": ["As", "As", "As", "As", "H", "H", "La", "La"], "fractional_positions": [[0.3750, 0.6801, 0.7500], [0.3199, 0.1250, 0.2500], [0.4301, 0.6250, 0.2500], [0.8750, 0.5699, 0.7500], [0.2500, 0.7500, 0.5000], [0.5000, 0.5000, 0.0000], [0.0000, 0.0000, 0.0000], [0.7500, 0.2500, 0.5000]]}

=====

[6]
{"formula": "Nb2Ru", "functional": "PBE-GGA", "state": "relaxed", "ef_mev_per_atom": -239, "final_energy_ev_per_atom": -10.04, "lattice_angstrom": [[4.5504, 0.0000, 0.0000], [-2.2752, 3.9061, 0.5188], [0.0000, -0.7329, 5.5212]], "species": ["Nb", "Nb", "Nb", "Nb", "Ru", "Ru"], "fractional_positions": [[0.5000, 0.0000, 0.5000], [0.1667, 0.3333, 0.3332], [0.5000, 0.0000, 0.0000], [0.8333, 0.6667, 0.6668], [0.8333, 0.6666, 0.1641], [0.1667, 0.3334, 0.8359]]}

=====

[7]
{"formula": "Sc6Sb3C", "functional": "PBE-GGA", "state": "relaxed", "raw_formation_energy_kj_per_mol_atoms": -54.8, "final_energy_ev_per_atom": -6.53, "lattice_angstrom": [[-4.5811, 4.3477, -1.2295], [-5.5880, -6.3624, -1.6774], [-1.9631, 0.3072, 8.4007]], "species": ["Sb", "Sb", "Sb", "Sb", "Sb", "Sb", "Sc", "Sc", "Sc", "Sc", "Sc", "Sc", "Sc", "Sc", "Sc", "Sc", "Sc", "Sc", "C", "C"], "fractional_positions": [[0.3656, 0.3816, 0.6184], [0.5121, 0.9156, 0.7021], [0.8656, 0.6184, 0.3816], [0.5121, 0.2979, 0.0844], [0.0121, 0.0844, 0.2979], [0.0121, 0.7021, 0.9156], [0.1907, 0.7781, 0.2219], [0.1218, 0.3662, 0.9102], [0.1986, 0.3950, 0.3092], [0.6218, 0.9102, 0.3662], [0.7751, 0.9883, 0.0117], [0.2751, 0.0117, 0.9883], [0.6907, 0.2219, 0.7781], [0.6986, 0.3092, 0.3950], [0.6986, 0.6050, 0.6908], [0.1986, 0.6908, 0.6050], [0.1218, 0.0898, 0.6338], [0.6218, 0.6338, 0.0898], [0.4891, 0.8617, 0.1383], [0.9891, 0.1383, 0.8617]]}

=====

[8]
{"formula": "Yb7Ni4Sn13", "functional": "PBE-GGA", "state": "relaxed", "ef_mev_per_atom": -534, "final_energy_ev_per_atom": -4.11, "lattice_angstrom": [[-8.7306, -0.3621, 7.0974], [-7.0825, -0.4824, -8.7368], [0.2372, -4.5570, 0.0593]], "species": ["Sn", "Sn", "Sn", "Sn", "Sn", "Sn", "Sn", "Sn", "Sn", "Sn", "Sn", "Sn", "Sn", "Yb", "Yb", "Yb", "Yb", "Yb", "Yb", "Yb", "Ni", "Ni", "Ni", "Ni"], "fractional_positions": [[0.5000, 0.5000, 0.0000], [0.7845, 0.5206, 0.0000], [0.0783, 0.1891, 0.5000], [0.1891, 0.9217, 0.5000], [0.5206, 0.2155, 0.0000], [0.4794, 0.7845, 0.0000], [0.8913, 0.2859, 0.0000], [0.2859, 0.1087, 0.0000], [0.8109, 0.0783, 0.5000], [0.1087, 0.7141, 0.0000], [0.9217, 0.8109, 0.5000], [0.2155, 0.4794, 0.0000], [0.7141, 0.8913, 0.0000], [0.0000, 0.0000, 0.0000], [0.6727, 0.3402, 0.5000], [0.6598, 0.6727, 0.5000], [0.3273, 0.6598, 0.5000], [0.5000, 0.0000, 0.5000], [0.0000, 0.5000, 0.5000], [0.3402, 0.3273, 0.5000], [0.7257, 0.1221, 0.0000], [0.8779, 0.7257, 0.0000], [0.2743, 0.8779, 0.0000], [0.1221, 0.2743, 0.0000]]}

=====

[9]
{"formula": "Dy3Y8Tm2", "functional": "PBE-GGA", "state": "relaxed", "ef_mev_per_atom": 240, "final_energy_ev_per_atom": -5.49, "lattice_angstrom": [[5.5838, 0.0000, 0.7940], [0.0000, 7.6418, 0.0000], [-1.4164, -3.8209, 9.9250]], "species": ["Y", "Y", "Y", "Y", "Y", "Y", "Y", "Y", "Tm", "Tm", "Dy", "Dy", "Dy"], "fractional_positions": [[0.9999, 0.1338, 0.2676], [0.4997, 0.6029, 0.7839], [0.5003, 0.3971, 0.2161], [0.0007, 0.6709, 0.3419], [0.9993, 0.3291, 0.6581], [0.5003, 0.8190, 0.2161], [0.0001, 0.8662, 0.7324], [0.4997, 0.1810, 0.7839], [0.5008, 0.7586, 0.5173], [0.4992, 0.2414, 0.4827], [0.5000, 0.0000, 0.0000], [0.0000, 0.2847, 0.0000], [0.0000, 0.7153, 0.0000]]}

=====

[10]
{"formula": "YBe2NbGa", "functional": "PBE-GGA", "state": "relaxed", "ef_mev_per_atom": 469, "final_energy_ev_per_atom": -4.93, "lattice_angstrom": [[-1.6838, 3.8836, 1.5469], [1.5674, -1.1126, 4.4994], [3.9231, 2.0440, -0.8612]], "species": ["Be", "Be", "Nb", "Y", "Ga"], "fractional_positions": [[0.0000, 0.0000, 0.5000], [0.5000, 0.0000, 0.0000], [0.0000, 0.0000, 0.0000], [0.5000, 0.5000, 0.5000], [0.0000, 0.5000, 0.0000]]}

=====

[11]
{"formula": "RbH7Rh2", "functional": "PBE-GGA", "state": "relaxed", "final_energy_ev_per_atom": -4.01, "lattice_angstrom": [[-1.6007, 0.0814, -3.1529], [-1.8103, -5.2063, 0.7846], [-3.0161, 4.3815, 1.6444]], "species": ["H", "H", "H", "H", "H", "H", "H", "Rb", "Rh", "Rh"], "fractional_positions": [[0.0000, 0.3222, 0.6778], [0.0000, 0.6778, 0.3222], [0.5000, 0.6451, 0.9705], [0.5000, 0.5000, 0.5000], [0.5000, 0.3549, 0.0295], [0.5000, 0.9705, 0.6451], [0.5000, 0.0295, 0.3549], [0.0000, 0.0000, 0.0000], [0.5000, 0.3135, 0.6865], [0.5000, 0.6865, 0.3135]]}

=====

[12]
{"formula": "Si2RuSe6", "functional": "PBE-GGA", "state": "relaxed", "raw_formation_energy_kj_per_mol_atoms": -20.6, "final_energy_ev_per_atom": -4.77, "lattice_angstrom": [[-3.3938, 3.6656, 4.0702], [4.2605, -1.5093, 6.7416], [4.6231, 6.6637, -0.3167]], "species": ["Si", "Si", "Si", "Si", "Se", "Se", "Se", "Se", "Se", "Se", "Se", "Se", "Se", "Se", "Se", "Se", "Ru", "Ru"], "fractional_positions": [[0.8414, 0.3807, 0.2144], [0.1586, 0.6193, 0.7856], [0.6586, 0.7856, 0.6193], [0.3414, 0.2144, 0.3807], [0.6331, 0.6202, 0.1144], [0.1472, 0.4623, 0.2835], [0.8528, 0.5377, 0.7165], [0.8669, 0.8856, 0.3798], [0.1331, 0.1144, 0.6202], [0.6284, 0.9852, 0.8116], [0.8716, 0.1884, 0.0148], [0.3716, 0.0148, 0.1884], [0.6472, 0.2835, 0.4623], [0.3528, 0.7165, 0.5377], [0.1284, 0.8116, 0.9852], [0.3669, 0.3798, 0.8856], [0.2500, 0.1092, 0.8908], [0.7500, 0.8908, 0.1092]]}

=====

[13]
{"formula": "PaAsO", "functional": "PBE-GGA", "state": "relaxed", "raw_formation_energy_kj_per_mol_atoms": -212.0, "relative_energy_mev_per_atom": 20, "final_energy_ev_per_atom": -8.57, "lattice_angstrom": [[-2.3276, -0.9109, 3.3300], [-0.3748, -3.6496, -1.2604], [2.9540, 0.9551, 2.3260]], "species": ["As", "O", "Pa"], "fractional_positions": [[0.6667, 0.3333, 0.6667], [0.1666, 0.0000, 0.0000], [0.1667, 0.6667, 0.3333]]}

=====

[14]
{"formula": "BeHI", "functional": "PBE-GGA", "state": "relaxed", "final_energy_ev_per_atom": -2.99, "lattice_angstrom": [[8.8005, -0.4065, -2.9434], [4.0401, 7.8289, -2.9434], [1.8059, 1.0439, 4.7724]], "species": ["Be", "Be", "Be", "Be", "Be", "Be", "H", "H", "H", "H", "H", "H", "I", "I", "I", "I", "I", "I"], "fractional_positions": [[0.3415, 0.4148, 0.7648], [0.4148, 0.3415, 0.2648], [0.6585, 0.5852, 0.2352], [0.9114, 0.0886, 0.2500], [0.5852, 0.6585, 0.7352], [0.0886, 0.9114, 0.7500], [0.6648, 0.6649, 0.9810], [0.6649, 0.6648, 0.4810], [0.0557, 0.9443, 0.2500], [0.9443, 0.0557, 0.7500], [0.3352, 0.3351, 0.0190], [0.3351, 0.3352, 0.5190], [0.6643, 0.0688, 0.2639], [0.6216, 0.3784, 0.7500], [0.9312, 0.3357, 0.2361], [0.0688, 0.6643, 0.7639], [0.3784, 0.6216, 0.2500], [0.3357, 0.9312, 0.7361]]}

=====

[15]
{"formula": "NdI2Cl", "functional": "PBE-GGA", "state": "relaxed", "raw_formation_energy_kj_per_mol_atoms": -164.7, "relative_energy_mev_per_atom": 0, "final_energy_ev_per_atom": -4.14, "lattice_angstrom": [[-3.5552, 0.3498, 2.2612], [-1.0219, -6.5018, -4.5363], [3.9636, -5.5723, 7.0939]], "species": ["I", "I", "I", "I", "Nd", "Nd", "Cl", "Cl"], "fractional_positions": [[0.1480, 0.2951, 0.0614], [0.1480, 0.2951, 0.4386], [0.8520, 0.7049, 0.9386], [0.8520, 0.7049, 0.5614], [0.7565, 0.5128, 0.2500], [0.2435, 0.4872, 0.7500], [0.3716, 0.7440, 0.2500], [0.6284, 0.2560, 0.7500]]}

=====

[16]
{"formula": "Ti2TeSe", "functional": "PBE-GGA", "state": "relaxed", "raw_formation_energy_kj_per_mol_atoms": -38.2, "relative_energy_mev_per_atom": 479, "final_energy_ev_per_atom": -6.00, "lattice_angstrom": [[-0.2510, -0.0732, -5.6295], [0.8125, -5.5766, 0.0362], [-6.6054, -3.8262, -2.4765]], "species": ["Ti", "Ti", "Ti", "Ti", "Te", "Te", "Se", "Se"], "fractional_positions": [[0.8750, 0.8372, 0.7500], [0.1628, 0.6250, 0.2500], [0.3750, 0.4128, 0.7500], [0.5872, 0.1250, 0.2500], [0.7500, 0.2500, 0.5000], [0.0000, 0.0000, 0.0000], [0.2500, 0.7500, 0.5000], [0.5000, 0.5000, 0.0000]]}

=====

[17]
{"formula": "Ni2HgW", "functional": "PBE-GGA", "state": "relaxed", "ef_mev_per_atom": 150, "final_energy_ev_per_atom": -6.05, "lattice_angstrom": [[2.7873, 0.0264, 0.0000], [-0.0219, 2.7873, 0.0000], [0.0000, 0.0000, 7.5472]], "species": ["Ni", "Ni", "W", "Hg"], "fractional_positions": [[0.0000, 0.0000, 0.0213], [0.0000, 0.0000, 0.4787], [0.5000, 0.5000, 0.2500], [0.5000, 0.5000, 0.7500]]}

=====

[18]
{"formula": "La2Pr6Ho", "functional": "PBE-GGA", "state": "relaxed", "ef_mev_per_atom": 89, "relative_energy_mev_per_atom": 0, "final_energy_ev_per_atom": -4.70, "lattice_angstrom": [[5.7704, -3.0200, -1.1366], [-1.4719, 11.9748, 1.5510], [-4.8745, 1.9249, 10.9772]], "species": ["La", "La", "La", "La", "Pr", "Pr", "Pr", "Pr", "Pr", "Pr", "Pr", "Pr", "Pr", "Pr", "Pr", "Pr", "Ho", "Ho"], "fractional_positions": [[0.4653, 0.2697, 0.1550], [0.5347, 0.7303, 0.8450], [0.0347, 0.8449, 0.7303], [0.9653, 0.1551, 0.2697], [0.8632, 0.3074, 0.9456], [0.8330, 0.8218, 0.3990], [0.2726, 0.6710, 0.5203], [0.7726, 0.5203, 0.6709], [0.3632, 0.9456, 0.3074], [0.2274, 0.4797, 0.3291], [0.3330, 0.3990, 0.8218], [0.1368, 0.6926, 0.0544], [0.1670, 0.1782, 0.6010], [0.6368, 0.0544, 0.6926], [0.7274, 0.3290, 0.4797], [0.6670, 0.6010, 0.1782], [0.7500, 0.9652, 0.0348], [0.2500, 0.0348, 0.9652]]}

=====

[19]
{"formula": "Mg3ScIr", "functional": "PBE-GGA", "state": "relaxed", "ef_mev_per_atom": 106, "relative_energy_mev_per_atom": 0, "final_energy_ev_per_atom": -3.89, "lattice_angstrom": [[4.9277, 0.0000, 0.0000], [0.0000, 4.9277, 0.0000], [0.0000, 0.0000, 4.9277]], "species": ["Mg", "Mg", "Mg", "Sc", "Ir"], "fractional_positions": [[0.0000, 0.0000, 0.5000], [0.0000, 0.5000, 0.0000], [0.5000, 0.0000, 0.0000], [0.5000, 0.5000, 0.5000], [0.0000, 0.0000, 0.0000]]}

=====

[20]
{"formula": "La3PbO", "functional": "PBE-GGA", "state": "relaxed", "raw_formation_energy_kj_per_mol_atoms": -99.3, "final_energy_ev_per_atom": -5.72, "lattice_angstrom": [[0.2010, -8.8624, 3.6221], [-3.7136, -1.7195, 8.6577], [-8.1119, -5.0229, 0.8190]], "species": ["La", "La", "La", "La", "La", "La", "La", "La", "La", "La", "La", "La", "O", "O", "O", "O", "Pb", "Pb", "Pb", "Pb"], "fractional_positions": [[0.4414, 0.0586, 0.0586], [0.8086, 0.8086, 0.1914], [0.4414, 0.0586, 0.4414], [0.1914, 0.1914, 0.8086], [0.1914, 0.8086, 0.1914], [0.0586, 0.4414, 0.0586], [0.4414, 0.4414, 0.0586], [0.0586, 0.0586, 0.4414], [0.8086, 0.1914, 0.8086], [0.0586, 0.4414, 0.4414], [0.8086, 0.1914, 0.1914], [0.1914, 0.8086, 0.8086], [0.1250, 0.6250, 0.1250], [0.6250, 0.1250, 0.1250], [0.1250, 0.1250, 0.6250], [0.1250, 0.1250, 0.1250], [0.6250, 0.1250, 0.6250], [0.1250, 0.6250, 0.6250], [0.6250, 0.6250, 0.6250], [0.6250, 0.6250, 0.1250]]}